(1)
Below is a relaxed Li2FeCl crystal, with properties calculated at the GGA-PBE level.

The structure belongs to space group Amm2 (No. 38); the cell edges are 3.1882, 3.2660 and 12.2393 Å and the angles 90.00°, 90.00° and 90.00°. The asymmetric unit holds Li at (0.0000, 0.0000, 0.0000), Li at (0.5000, 0.0000, 0.3633), Fe at (0.5000, 0.0000, 0.6110) and Cl at (0.0000, 0.0000, 0.7940).

For the density of states at the Fermi level, the calculation gives 0.435 states/eV/atom. Its uncorrected formation energy is -0.225 eV per atom.

***

(2)
Below is a relaxed LiFeCl2 crystal, with properties calculated at the GGA-PBE level.

The structure belongs to space group P4/mmm (No. 123); the cell edges are 4.5541, 4.5541 and 3.1514 Å and the angles 90.00°, 90.00° and 90.00°. The asymmetric unit holds Li at (0.0000, 0.0000, 0.0000), Fe at (0.5000, 0.5000, 0.0000) and Cl at (0.0000, 0.5000, 0.5000).

For the density of states at the Fermi level, the calculation gives 0.107 states/eV/atom. Its uncorrected formation energy is -0.526 eV per atom.

***

(3)
Below is a relaxed LiFe2Cl6 crystal, with properties calculated at the GGA-PBE level.

The structure belongs to space group C2/c (No. 15); the cell edges are 13.4820, 13.8013 and 6.2633 Å and the angles 90.00°, 112.73° and 90.00°. The asymmetric unit holds Li at (0.0000, 0.2132, 0.2500), Fe at (0.2257, 0.4169, 0.3321), Cl at (0.1015, 0.1112, 0.5729), Cl at (0.1142, 0.3065, 0.1124) and Cl at (0.1862, 0.4318, 0.6618).

For the density of states at the Fermi level, the calculation gives 0.559 states/eV/atom. Its uncorrected formation energy is -0.982 eV per atom.

***

(4)
Below is a relaxed LiFeCl2 crystal, with properties calculated at the GGA-PBE level.

The structure belongs to space group P2/m (No. 10); the cell edges are 3.4551, 3.2976 and 6.8335 Å and the angles 90.00°, 103.84° and 90.00°. The asymmetric unit holds Li at (0.0000, 0.0000, 0.0000), Fe at (0.5000, 0.0000, 0.5000) and Cl at (0.3986, 0.5000, 0.2326).

For the density of states at the Fermi level, the calculation gives 0.741 states/eV/atom. Its uncorrected formation energy is -0.667 eV per atom.

***

(5)
Below is a relaxed LiFeCl crystal, with properties calculated at the GGA-PBE level.

The structure belongs to space group I4mm (No. 107); the cell edges are 2.9710, 2.9710 and 10.8063 Å and the angles 90.00°, 90.00° and 90.00°. The asymmetric unit holds Li at (0.0000, 0.0000, 0.0000), Fe at (0.0000, 0.0000, 0.6970) and Cl at (0.0000, 0.0000, 0.3545).

For the density of states at the Fermi level, the calculation gives 1.034 states/eV/atom. Its uncorrected formation energy is -0.053 eV per atom.

***

(6)
Below is a relaxed LiFe3Cl12 crystal, with properties calculated at the GGA-PBE level.

The structure belongs to space group R3c (No. 161, hexagonal axes); the cell edges are 10.9677, 10.9677 and 32.3348 Å and the angles 90.00°, 90.00° and 120.00°. The asymmetric unit holds Li at (0.0000, 0.0000, 0.0000), Fe at (0.0570, 0.3670, 0.0579), Cl at (0.1866, 0.4384, 0.1131), Cl at (0.1949, 0.4551, 0.7160), Cl at (0.1957, 0.4249, 0.3974) and Cl at (0.2042, 0.4328, 0.0083).

For the density of states at the Fermi level, the calculation gives 0.448 states/eV/atom. Its uncorrected formation energy is -0.747 eV per atom.